# 1
A plane-wave DFT calculation with GGA-PBE was carried out for PmPr2Ho4Er after structural relaxation.

It has space group C2/c (No. 15), with a = 13.6905 Å, b = 13.2610 Å, c = 6.8095 Å, α = 90.00°, β = 119.82° and γ = 90.00°. Symmetry generates all atoms from Pm at (0.2500, 0.2500, 0.0000), Pr at (0.0000, 0.0000, 0.0000), Pr at (0.2500, 0.2500, 0.5000), Ho at (0.0001, 0.2562, 0.9999), Ho at (0.2442, 0.5002, 0.4929) and Er at (0.0000, 0.5000, 0.0000).

The mass density is 7.76 g/cm3. The formation enthalpy at 0 K is 413 meV/atom.

***

# 2
A plane-wave DFT calculation with GGA-PBE was carried out for AcSm4Te5 after structural relaxation.

It has space group C2/m (No. 12), with a = 14.9599 Å, b = 4.4932 Å, c = 11.0459 Å, α = 90.00°, β = 119.68° and γ = 90.00°. Symmetry generates all atoms from Ac at (0.0000, 0.0000, 0.0000), Sm at (0.0948, 0.5000, 0.3968), Sm at (0.2022, 0.0000, 0.7907), Te at (0.0000, 0.0000, 0.5000), Te at (0.1101, 0.5000, 0.8966) and Te at (0.2032, 0.0000, 0.3130).

The mass density is 7.55 g/cm3. The calculation puts the raw formation energy at -1.3985 eV per atom. The offset from the most stable computed form comes out at 0 meV/atom.

***

no.,volume (Å³ per atom),calculated total energy (eV/atom)
1,33.52,-4.235
2,32.25,-5.268